(1)
# ZnPb2W

A relaxed structure of ZnPb2W (GGA-PBEsol, Alexandria).

Properties
final energy = -4.896 eV/atom
total magnetic moment = 0.00 Bohr magnetons per cell
SG = Pmmm
theoretical density = 13.26 g cm⁻³

Structure (POSCAR):
```
ZnPb2W
1.0
3.218 0.000 0.000
0.000 4.799 0.000
0.000 0.000 5.382
Pb W Zn
2 1 1
Direct
0.000 0.000 0.000
0.500 0.000 0.500
0.500 0.500 0.000
0.000 0.500 0.500
```

=====

(2)
# ZnPb2W

A relaxed structure of ZnPb2W (GGA-PBEsol, Alexandria).

Properties
final energy = -4.920 eV/atom
total magnetic moment = 0.71 Bohr magnetons per cell
SG = I4/mmm
theoretical density = 13.49 g cm⁻³

Structure (POSCAR):
```
ZnPb2W
1.0
-2.315 0.758 -3.674
-2.377 -3.637 0.747
-0.423 3.703 3.675
Pb W Zn
2 1 1
Direct
0.750 0.250 0.500
0.250 0.750 0.500
0.500 0.500 0.000
0.000 0.000 0.000
```

=====

(3)
# ZrPbW

A relaxed structure of ZrPbW (GGA-PBEsol, Alexandria).

Properties
final energy = -8.028 eV/atom
total magnetic moment = 0.00 Bohr magnetons per cell
SG = F-43m
theoretical density = 11.33 g cm⁻³

Structure (POSCAR):
```
ZrPbW
1.0
-1.991 -0.087 -4.191
-3.721 -2.671 -0.746
-4.165 1.947 -0.631
Pb W Zr
1 1 1
Direct
0.500 0.500 0.500
0.250 0.250 0.250
0.000 0.000 0.000
```

=====

(4)
# Y2Pb

A relaxed structure of Y2Pb (GGA-PBEsol, Alexandria).

Properties
final energy = -6.366 eV/atom
total magnetic moment = 2.84 Bohr magnetons per cell
SG = P-62m
theoretical density = 7.45 g cm⁻³

Structure (POSCAR):
```
Y2Pb
1.0
-3.883 -0.877 1.576
3.468 -2.492 7.158
-2.209 7.974 -1.006
Pb Y
3 6
Direct
0.000 0.667 0.333
0.000 0.333 0.667
0.500 0.000 0.000
0.000 0.735 0.735
0.000 0.000 0.265
0.000 0.265 0.000
0.500 0.401 0.401
0.500 0.000 0.599
0.500 0.599 0.000
```

=====

(5)
# Y5Pb

A relaxed structure of Y5Pb (GGA-PBEsol, Alexandria).

Properties
final energy = -6.572 eV/atom
total magnetic moment = 0.00 Bohr magnetons per cell
SG = Cmmm
theoretical density = 6.27 g cm⁻³

Structure (POSCAR):
```
Y5Pb
1.0
4.795 0.000 0.000
0.000 4.826 0.000
-2.398 0.000 7.454
Pb Y
1 5
Direct
0.500 0.000 0.000
0.332 0.500 0.664
0.162 0.000 0.324
0.000 0.500 0.000
0.838 0.000 0.676
0.668 0.500 0.336
```

=====

(6)
# YPb3

A relaxed structure of YPb3 (GGA-PBEsol, Alexandria).

Properties
final energy = -4.962 eV/atom
total magnetic moment = 0.00 Bohr magnetons per cell
SG = Pmmm
theoretical density = 10.54 g cm⁻³

Structure (POSCAR):
```
YPb3
1.0
3.655 0.000 0.000
0.000 4.653 0.000
0.000 0.000 6.578
Pb Y
3 1
Direct
0.500 0.500 0.757
0.000 0.000 0.500
0.500 0.500 0.243
0.000 0.000 0.000
```

=====

Question: Which formula does entry 6 have?
Answer: YPb3

=====

Repeat the sixth record exactly.
# YPb3

A relaxed structure of YPb3 (GGA-PBEsol, Alexandria).

Properties
final energy = -4.962 eV/atom
total magnetic moment = 0.00 Bohr magnetons per cell
SG = Pmmm
theoretical density = 10.54 g cm⁻³

Structure (POSCAR):
```
YPb3
1.0
3.655 0.000 0.000
0.000 4.653 0.000
0.000 0.000 6.578
Pb Y
3 1
Direct
0.500 0.500 0.757
0.000 0.000 0.500
0.500 0.500 0.243
0.000 0.000 0.000
```